VASP calculation (PBE) on Li2TiReF after structural relaxation.

a b c (Å): 3.6425 3.6425 4.9592
angles (deg): 90.00 90.00 90.00
Space group P4/mmm (No. 123)
Symmetry-distinct sites (fractional):
Li: 0.0000 0.5000 0.0000 [2 per cell]
Ti: 0.0000 0.0000 0.5000 [1 per cell]
Re: 0.5000 0.5000 0.5000 [1 per cell]
F: 0.0000 0.0000 0.0000 [1 per cell]

Calculated volume: 65.8 Å³/cell
D(E_F): 2.09 states/eV/f.u.
Magnetization: 0.0 μB/f.u.
Total DFT energy (no corrections): -5.830 eV/atom
Raw formation energy: -0.62 eV per atom


VASP calculation (PBE) on Li3Tl2ReF12 after structural relaxation.

a b c (Å): 6.6351 6.6351 23.0579
angles (deg): 90.00 90.00 120.00
Space group R-3m (No. 166, hexagonal axes)
Symmetry-distinct sites (fractional):
Li: 0.0000 0.5000 0.0000 [9 per cell]
Tl: 0.0000 0.0000 0.0732 [6 per cell]
Re: 0.0000 0.0000 0.5000 [3 per cell]
F: 0.0418 0.5209 0.3670 [18 per cell]
F: 0.0645 0.5323 0.1198 [18 per cell]

Calculated volume: 879.1 Å³/cell
D(E_F): 12.88 states/eV/f.u.
Magnetization: 0.0 μB/f.u.
Total DFT energy (no corrections): -4.651 eV/atom
Raw formation energy: -2.13 eV per atom